# 1
DFT (PBE) results for MgAlTe2 after structural relaxation.

Lattice parameters (Å, degrees): 4.0029 7.9928 8.2481 90.00 90.00 90.00
Space group Immm (No. 71)
Unique sites:
Mg 0.0000 0.0000 0.0000 [2 per cell]
Al 0.0000 0.5000 0.0000 [2 per cell]
Te 0.0000 0.2432 0.5000 [4 per cell]

Volume (Å³/atom): 32.99
DFT total energy (eV per atom): -3.101
ΔE_f (raw) (eV per formula unit): -0.785

# 2
DFT (PBE) results for YCr3Pd after structural relaxation.

Lattice parameters (Å, degrees): 4.8623 4.8623 4.8623 90.00 90.00 90.00
Space group Pm-3m (No. 221)
Unique sites:
Y 0.0000 0.0000 0.0000 [1 per cell]
Cr 0.0000 0.5000 0.5000 [3 per cell]
Pd 0.5000 0.5000 0.5000 [1 per cell]

Volume (Å³/atom): 22.99
Polymorph energy (0 for the lowest one) (meV/atom): 0
ΔE_f (eV per atom): 0.933
DFT total energy (eV per atom): -7.172

# 3
DFT (PBE) results for Ac3Sm2TmTe6 after structural relaxation.

Lattice parameters (Å, degrees): 20.1456 4.4710 9.3238 90.00 106.16 90.00
Space group C2/m (No. 12)
Unique sites:
Ac 0.0000 0.0000 0.0000 [2 per cell]
Ac 0.1702 0.5000 0.3360 [4 per cell]
Sm 0.1689 0.5000 0.8371 [4 per cell]
Tm 0.0000 0.0000 0.5000 [2 per cell]
Te 0.0033 0.5000 0.7301 [4 per cell]
Te 0.1574 0.0000 0.5928 [4 per cell]
Te 0.1699 0.0000 0.0732 [4 per cell]

Volume (Å³/atom): 33.61
DFT total energy (eV per atom): -5.155
ΔE_f (raw) (eV per formula unit): -16.779

# 4
DFT (PBE) results for Ta4FePb after structural relaxation.

Lattice parameters (Å, degrees): 7.7793 7.7793 7.7793 90.00 90.00 90.00
Space group F-43m (No. 216)
Unique sites:
Ta 0.1248 0.1248 0.1248 [16 per cell]
Fe 0.2500 0.2500 0.7500 [4 per cell]
Pb 0.0000 0.0000 0.5000 [4 per cell]

Volume (Å³/atom): 19.62
ΔE_f (eV per atom): 0.663
DFT total energy (eV per atom): -9.267

# 5
DFT (PBE) results for CsPt4O8 after structural relaxation.

Lattice parameters (Å, degrees): 6.4142 6.4142 21.1990 90.00 90.00 120.00
Space group R-3m (No. 166, hexagonal axes)
Unique sites:
Cs 0.0000 0.0000 0.0000 [3 per cell]
Pt 0.0000 0.0000 0.5000 [3 per cell]
Pt 0.0000 0.5000 0.5000 [9 per cell]
O 0.0000 0.0000 0.2109 [6 per cell]
O 0.0002 0.5001 0.2115 [18 per cell]

Volume (Å³/atom): 19.37
DFT total energy (eV per atom): -5.600
ΔE_f (raw) (eV per formula unit): -8.120

# 6
DFT (PBE) results for La2Sm9Y after structural relaxation.

Lattice parameters (Å, degrees): 5.1521 5.1521 15.4676 90.00 90.00 90.00
Space group P4/mmm (No. 123)
Unique sites:
La 0.0000 0.0000 0.1672 [2 per cell]
Sm 0.0000 0.5000 0.0000 [2 per cell]
Sm 0.0000 0.5000 0.3357 [4 per cell]
Sm 0.5000 0.5000 0.1683 [2 per cell]
Sm 0.5000 0.5000 0.5000 [1 per cell]
Y 0.0000 0.0000 0.5000 [1 per cell]

Volume (Å³/atom): 34.21
ΔE_f (eV per atom): 0.021
DFT total energy (eV per atom): -4.879

# 7
DFT (PBE) results for MnCrRu2 after structural relaxation.

Lattice parameters (Å, degrees): 2.8514 4.3477 8.8538 90.00 90.00 90.00
Space group Immm (No. 71)
Unique sites:
Mn 0.0000 0.0000 0.0000 [2 per cell]
Cr 0.0000 0.0000 0.5000 [2 per cell]
Ru 0.0000 0.5000 0.2226 [4 per cell]

Volume (Å³/atom): 13.72
ΔE_f (eV per atom): 0.231
DFT total energy (eV per atom): -9.105

# 8
DFT (PBE) results for Tb6DyHo4 after structural relaxation.

Lattice parameters (Å, degrees): 5.7033 9.5670 25.4670 90.00 90.00 90.00
Space group Cmcm (No. 63)
Unique sites:
Tb 0.0000 0.0000 0.0000 [4 per cell]
Tb 0.0000 0.0351 0.2500 [4 per cell]
Tb 0.0000 0.3021 0.6038 [8 per cell]
Tb 0.0000 0.3679 0.1818 [8 per cell]
Dy 0.0000 0.3002 0.7500 [4 per cell]
Ho 0.0000 0.0383 0.1217 [8 per cell]
Ho 0.0000 0.3474 0.0430 [8 per cell]

Volume (Å³/atom): 31.58
Polymorph energy (0 for the lowest one) (meV/atom): 0
ΔE_f (eV per atom): 0.128
DFT total energy (eV per atom): -4.481